Entry 1:
The following is a DFT calculation (PBEsol) of a relaxed MnRuWS2 crystal.

Results
The magnetic moment is 4.114 μB per cell. The total DFT energy (no corrections) comes out at -7.580 eV per atom. The calculation puts the formation energy without anion corrections at 0.92 eV per atom. For the density of states at the Fermi level, the calculation gives 3.89 states/eV/cell. For the calculated density, the calculation gives 6.8 g/cm³.

a = 4.531 Å, b = 4.531 Å, c = 4.818 Å
α = 90.00°, β = 90.00°, γ = 90.00°
Fractional positions:
1 Ru 0.000 0.000 0.500
2 S 0.000 0.500 0.000
3 S 0.500 0.000 0.000
4 Mn 0.500 0.500 0.500
5 W 0.000 0.000 0.000

***

Entry 2:
The following is a DFT calculation (PBEsol) of a relaxed BaLiSn2N crystal.

Results
The magnetic moment is 0.000 μB per cell. The total DFT energy (no corrections) comes out at -3.857 eV per atom. The calculation puts the formation energy without anion corrections at 0.38 eV per atom. For the density of states at the Fermi level, the calculation gives 2.67 states/eV/cell. For the calculated density, the calculation gives 5.7 g/cm³.

a = 3.957 Å, b = 5.385 Å, c = 5.385 Å
α = 90.00°, β = 90.00°, γ = 90.00°
Fractional positions:
1 N 0.500 0.000 0.000
2 Li 0.000 0.000 0.000
3 Ba 0.500 0.500 0.500
4 Sn 0.000 0.000 0.500
5 Sn 0.000 0.500 0.000

***

Entry 3:
The following is a DFT calculation (PBEsol) of a relaxed KAlCu3 crystal.

Results
The magnetic moment is 0.000 μB per cell. The total DFT energy (no corrections) comes out at -1.851 eV per atom. For the density of states at the Fermi level, the calculation gives 2.61 states/eV/cell. For the calculated density, the calculation gives 3.9 g/cm³. The energy relative to the elements is 1.795 eV/atom.

a = 4.792 Å, b = 4.792 Å, c = 4.792 Å
α = 90.00°, β = 90.00°, γ = 90.00°
Fractional positions:
1 K 0.000 0.000 0.000
2 Al 0.500 0.500 0.500
3 Cu 0.000 0.500 0.000
4 Cu 0.000 0.000 0.500
5 Cu 0.500 0.000 0.000

***

Entry 4:
The following is a DFT calculation (PBEsol) of a relaxed Be3Tc4 crystal.

Results
The magnetic moment is 0.000 μB per cell. The total DFT energy (no corrections) comes out at -8.399 eV per atom. For the density of states at the Fermi level, the calculation gives 2.54 states/eV/cell. For the calculated density, the calculation gives 8.7 g/cm³. The energy relative to the elements is -0.246 eV/atom.

a = 4.447 Å, b = 4.447 Å, c = 4.648 Å
α = 90.00°, β = 90.00°, γ = 120.00°
Fractional positions:
1 Be 0.000 0.500 0.000
2 Be 0.500 0.000 0.000
3 Be 0.500 0.500 0.000
4 Tc 0.000 0.000 0.754
5 Tc 0.000 0.000 0.246
6 Tc 0.333 0.667 0.500
7 Tc 0.667 0.333 0.500

***

Entry 5:
The following is a DFT calculation (PBEsol) of a relaxed Ag2WAu crystal.

Results
The magnetic moment is 0.000 μB per cell. The total DFT energy (no corrections) comes out at -5.437 eV per atom. For the density of states at the Fermi level, the calculation gives 2.25 states/eV/cell. For the calculated density, the calculation gives 14.9 g/cm³. The value obtained for the offset from the most stable computed form is 153 meV/atom. The energy relative to the elements is 0.652 eV/atom.

a = 2.716 Å, b = 4.947 Å, c = 4.947 Å
α = 90.00°, β = 90.00°, γ = 90.00°
Fractional positions:
1 Au 0.500 0.500 0.500
2 Ag 0.000 0.000 0.500
3 Ag 0.000 0.500 0.000
4 W 0.500 0.000 0.000

***

Entry 6:
The following is a DFT calculation (PBEsol) of a relaxed FeNi2Os crystal.

Results
The magnetic moment is 1.587 μB per cell. The total DFT energy (no corrections) comes out at -8.065 eV per atom. For the density of states at the Fermi level, the calculation gives 6.13 states/eV/cell. For the calculated density, the calculation gives 13.1 g/cm³. The value obtained for the offset from the most stable computed form is 226 meV/atom. The energy relative to the elements is 0.309 eV/atom.

a = 4.028 Å, b = 4.028 Å, c = 4.028 Å
α = 60.00°, β = 60.00°, γ = 60.00°
Fractional positions:
1 Fe 0.000 0.000 0.000
2 Ni 0.250 0.250 0.250
3 Ni 0.750 0.750 0.750
4 Os 0.500 0.500 0.500

***

Entry 7:
The following is a DFT calculation (PBEsol) of a relaxed HfBeTe2 crystal.

Results
The magnetic moment is 0.000 μB per cell. The total DFT energy (no corrections) comes out at -5.141 eV per atom. The calculation puts the formation energy without anion corrections at 0.25 eV per atom. For the density of states at the Fermi level, the calculation gives 3.82 states/eV/cell. For the calculated density, the calculation gives 8.1 g/cm³.

a = 3.464 Å, b = 3.464 Å, c = 8.975 Å
α = 78.87°, β = 78.87°, γ = 60.00°
Fractional positions:
1 Be 0.500 0.500 0.500
2 Te 0.892 0.892 0.323
3 Te 0.108 0.108 0.677
4 Hf 0.000 0.000 0.000

***

Entry 8:
The following is a DFT calculation (PBEsol) of a relaxed Ca2YZn2 crystal.

Results
The magnetic moment is 0.000 μB per cell. The total DFT energy (no corrections) comes out at -3.005 eV per atom. For the density of states at the Fermi level, the calculation gives 7.97 states/eV/cell. For the calculated density, the calculation gives 3.8 g/cm³. The value obtained for the offset from the most stable computed form is 0 meV/atom. The energy relative to the elements is -0.154 eV/atom.

a = 4.852 Å, b = 7.355 Å, c = 7.355 Å
α = 90.00°, β = 90.00°, γ = 90.00°
Fractional positions:
1 Y 0.000 0.000 0.000
2 Y 0.000 0.500 0.500
3 Zn 0.000 0.381 0.881
4 Zn 0.000 0.881 0.619
5 Zn 0.000 0.619 0.119
6 Zn 0.000 0.119 0.381
7 Ca 0.500 0.173 0.673
8 Ca 0.500 0.673 0.827
9 Ca 0.500 0.827 0.327
10 Ca 0.500 0.327 0.173